# LaEr2TcN4

LaEr2TcN4 after structural relaxation (GGA-PBE, Alexandria via LeMat-Bulk).

The structure in POSCAR format:
```
LaEr2TcN4
1.0
1.737 -5.860 0.000
1.737 5.860 0.000
0.000 0.000 11.572
La Er Tc N
2 4 2 8
direct
0.117 0.883 0.750
0.883 0.117 0.250
0.369 0.631 0.540
0.369 0.631 0.960
0.631 0.369 0.040
0.631 0.369 0.460
0.146 0.854 0.250
0.854 0.146 0.750
0.000 0.000 0.000
0.000 0.000 0.500
0.262 0.738 0.124
0.262 0.738 0.376
0.435 0.565 0.750
0.565 0.435 0.250
0.738 0.262 0.624
0.738 0.262 0.876
```

Computed properties:
Its energy relative to the elements, uncorrected is -1141 meV/atom. For the density of states at the Fermi level, the calculation gives 2.24 states/eV/f.u. The total magnetization comes out at 0.00 μB/f.u. As for the space group: Cmcm.